Ac2LaNd4, optimized geometry, DFT GGA-PBE; energy above the lowest structure with this stoichiometry = 0.518 eV/atom; total magnetic moment = 0.00 μB per atom; raw total energy = -4.057 eV/atom
1.0
5.7842 0.0000 0.0000
0.0000 5.7842 0.0000
-2.8921 -2.8921 9.1153
Ac Nd La
2 4 1
direct
0.6266 0.6266 0.2533
0.3734 0.3734 0.7467
0.1726 0.1726 0.3453
0.5000 0.0000 0.0000
0.8274 0.8274 0.6547
0.0000 0.5000 0.0000
0.0000 0.0000 0.0000